No. 1
YPuHfO6: relaxed, PBE.

Output
- total energy (eV/atom) = -9.90
- energy relative to the elements, uncorrected (eV/atom) = -3.18
- crystal system = trigonal

```
YPuHfO6
1.0
5.582 0.000 0.000
-2.791 4.834 0.000
0.000 0.000 9.572
Y Pu Hf O
2 2 2 12
Direct
0.000 0.000 0.000 Y
0.000 0.000 0.500 Y
0.667 0.333 0.250 Pu
0.333 0.667 0.750 Pu
0.333 0.667 0.250 Hf
0.667 0.333 0.750 Hf
0.648 0.654 0.136 O
0.006 0.352 0.136 O
0.352 0.006 0.636 O
0.994 0.648 0.864 O
0.346 0.352 0.364 O
0.006 0.654 0.364 O
0.654 0.006 0.864 O
0.648 0.994 0.364 O
0.994 0.346 0.636 O
0.346 0.994 0.136 O
0.654 0.648 0.636 O
0.352 0.346 0.864 O
```

No. 2
Th2Ni12As7: relaxed, PBE.

Output
- total energy (eV/atom) = -6.09
- formation enthalpy at 0 K (meV/atom) = -529
- crystal system = hexagonal

```
Th2Ni12As7
1.0
3.940 0.000 0.000
0.000 8.134 -4.696
0.000 0.000 9.392
Th Ni As
2 12 7
Direct
0.500 0.000 0.000 Th
0.000 0.667 0.333 Th
0.500 0.907 0.617 Ni
0.500 0.711 0.093 Ni
0.500 0.383 0.289 Ni
0.500 0.233 0.772 Ni
0.500 0.539 0.767 Ni
0.500 0.228 0.461 Ni
0.000 0.054 0.532 Ni
0.000 0.478 0.946 Ni
0.000 0.468 0.522 Ni
0.000 0.775 0.726 Ni
0.000 0.951 0.225 Ni
0.000 0.274 0.049 Ni
0.000 0.333 0.667 As
0.000 0.047 0.776 As
0.000 0.728 0.953 As
0.000 0.224 0.272 As
0.500 0.631 0.568 As
0.500 0.936 0.369 As
0.500 0.432 0.064 As
```

No. 3
Te3Ir: relaxed, PBE.

Output
- total energy (eV/atom) = -4.24
- energy relative to the elements, uncorrected (eV/atom) = 0.33
- crystal system = cubic

```
Te3Ir
1.0
-4.314 1.719 -1.988
-1.035 -3.404 3.586
2.575 3.847 2.021
Ir Te
1 3
Direct
0.000 0.000 0.000 Ir
0.500 0.000 0.500 Te
0.500 0.500 0.000 Te
0.000 0.500 0.500 Te
```

No. 4
Al2TlOs2: relaxed, PBE.

Output
- total energy (eV/atom) = -6.37
- polymorph energy (0 for the lowest one) (meV/atom) = 0
- formation enthalpy at 0 K (meV/atom) = 90
- crystal system = tetragonal

```
Al2TlOs2
1.0
7.250 0.000 0.000
0.000 7.250 0.000
0.000 0.000 3.114
Tl Os Al
2 4 4
Direct
0.000 0.000 0.000 Tl
0.500 0.500 0.000 Tl
0.349 0.849 0.000 Os
0.849 0.651 0.000 Os
0.651 0.151 0.000 Os
0.151 0.349 0.000 Os
0.140 0.640 0.500 Al
0.640 0.860 0.500 Al
0.860 0.360 0.500 Al
0.360 0.140 0.500 Al
```

No. 5
RbNa2CeBr6: relaxed, PBE.

Output
- total energy (eV/atom) = -3.66
- energy relative to the elements, uncorrected (eV/atom) = -1.70
- crystal system = trigonal

```
RbNa2CeBr6
1.0
-6.719 -2.440 -3.000
-0.178 -3.081 -7.112
-1.203 -8.224 -0.633
Rb Na Ce Br
1 2 1 6
Direct
0.803 0.803 0.592 Rb
0.519 0.519 0.444 Na
0.005 0.005 0.984 Na
0.324 0.324 0.028 Ce
0.590 0.248 0.234 Br
0.248 0.928 0.234 Br
0.928 0.590 0.234 Br
0.350 0.728 0.755 Br
0.728 0.167 0.755 Br
0.167 0.350 0.755 Br
```

No. 6
SrVH: relaxed, PBE.

Output
- total energy (eV/atom) = -4.52
- polymorph energy (0 for the lowest one) (meV/atom) = 73
- crystal system = monoclinic

```
SrVH
1.0
-4.696 5.407 3.227
-5.221 -1.581 2.704
0.389 -5.615 2.321
Sr V H
2 2 2
Direct
0.000 0.190 0.190 Sr
0.000 0.807 0.807 Sr
0.605 0.003 0.967 V
0.395 0.967 0.003 V
0.518 0.014 0.610 H
0.482 0.610 0.014 H
```